VASP calculation (PBE) on crystalline CsRb3Sn2Hg2 at its relaxed geometry.

```
CsRb3Sn2Hg2
1.0
7.158 0.000 0.000
0.000 6.985 0.000
-2.017 0.000 6.969
Sn Hg Rb Cs
2 2 3 1
direct
0.750 0.500 0.739
0.254 0.000 0.255
0.998 0.750 0.001
0.998 0.250 0.001
0.821 0.000 0.480
0.180 0.500 0.522
0.477 0.000 0.819
0.523 0.500 0.182
```

Crystal system: monoclinic
Raw total energy in eV/atom: -1.797
Density in Mg/m³: 4.9

VASP calculation (PBE) on crystalline BaCo2Se3 at its relaxed geometry.

```
BaCo2Se3
1.0
7.057 -1.984 0.000
7.057 1.984 0.000
0.000 0.000 9.400
Co Se Ba
4 6 2
direct
0.000 0.000 0.000
0.000 0.000 0.500
0.476 0.476 0.250
0.524 0.524 0.750
0.620 0.620 0.543
0.935 0.935 0.750
0.065 0.065 0.250
0.380 0.380 0.043
0.380 0.380 0.457
0.620 0.620 0.957
0.243 0.243 0.750
0.757 0.757 0.250
```

Crystal system: orthorhombic
Raw total energy in eV/atom: -5.047
Density in Mg/m³: 6.2

VASP calculation (PBE) on crystalline HfScAl4Pd2 at its relaxed geometry.

```
HfScAl4Pd2
1.0
-2.104 4.588 4.292
5.064 1.246 1.151
3.484 3.500 -2.033
Al Pd Sc Hf
4 2 1 1
direct
0.800 0.867 0.867
0.703 0.133 0.133
0.297 0.133 0.133
0.200 0.867 0.867
0.000 0.293 0.293
0.500 0.707 0.707
0.500 0.427 0.427
0.000 0.574 0.574
```

Crystal system: orthorhombic
Raw total energy in eV/atom: -5.932
Density in Mg/m³: 6.6

VASP calculation (PBE) on crystalline SmMg12 at its relaxed geometry.

```
SmMg12
1.0
-5.131 5.131 2.954
5.131 -5.131 2.954
5.131 5.131 -2.954
Mg Sm
12 1
direct
0.000 0.000 0.500
0.288 0.500 0.788
0.500 0.288 0.788
0.000 0.500 0.000
0.000 0.351 0.351
0.649 0.000 0.649
0.500 0.500 0.500
0.500 0.000 0.000
0.712 0.500 0.212
0.000 0.649 0.649
0.500 0.712 0.212
0.351 0.000 0.351
0.000 0.000 0.000
```

Crystal system: tetragonal
Raw total energy in eV/atom: -1.821
Density in Mg/m³: 2.4